## Tb2PuGa6 (PBE-GGA)

Data for a relaxed structure of Tb2PuGa6.

Calculated values
ΔH_f (0 K) in eV/atom: -0.37
Excess energy over the best structure of this formula in the dataset in meV/atom: 168
Size of the total moment in μB per formula unit: 5.849

Cell: 4.3511 7.1281 13.1587 Å, 90.00 90.00 90.00°
With the nearest neighbours (Å) after each atom.
Space group Immm (No. 71)
Unique sites:
Tb: 0.0000 0.0000 0.1254 (multiplicity 4)  10 Ga 2.86-3.18
Pu: 0.0000 0.5000 0.0000 (multiplicity 2)  4 Ga 3.12
Ga: 0.0000 0.1922 0.3161 (multiplicity 8)  2 Ga 2.57-2.74, 1 Tb 2.86
Ga: 0.0000 0.3147 0.5000 (multiplicity 4)  3 Ga 2.57-2.64